This record from Alexandria describes a geometry-optimized CaPr5Er3 structure. The functional is PBE-GGA.

a = 9.957 Å, b = 9.957 Å, c = 7.226 Å
α = 100.41°, β = 100.41°, γ = 64.87°
Fractional positions:
Ca (0.180, 0.820, 0.750)
Ca (0.820, 0.180, 0.250)
Pr (0.157, 0.484, 0.911)
Pr (0.157, 0.486, 0.410)
Pr (0.194, 0.806, 0.250)
Pr (0.484, 0.157, 0.411)
Pr (0.486, 0.157, 0.910)
Pr (0.514, 0.843, 0.090)
Pr (0.516, 0.843, 0.589)
Pr (0.806, 0.194, 0.750)
Pr (0.843, 0.514, 0.590)
Pr (0.843, 0.516, 0.089)
Er (0.160, 0.163, 0.081)
Er (0.163, 0.160, 0.581)
Er (0.500, 0.500, 0.000)
Er (0.500, 0.500, 0.500)
Er (0.837, 0.840, 0.419)
Er (0.840, 0.837, 0.919)

Values from the calculation:
Crystal system: monoclinic
E in eV/atom: -4.28
Space group: C2/c (15)
DOS(E_F) in states/eV per cell: 25.9
ΔH_f (0 K) in eV/atom: 0.122

=====

This record from Alexandria describes a geometry-optimized SrMn2AsW structure. The functional is PBE-GGA.

a = 4.430 Å, b = 4.430 Å, c = 5.375 Å
α = 90.00°, β = 90.00°, γ = 90.00°
Fractional positions:
Sr (0.000, 0.000, 0.000)
Mn (0.000, 0.500, 0.500)
Mn (0.500, 0.000, 0.500)
As (0.000, 0.000, 0.500)
W (0.500, 0.500, 0.000)

Values from the calculation:
Crystal system: tetragonal
E in eV/atom: -5.90
Space group: P4/mmm (123)
DOS(E_F) in states/eV per cell: 10.4
ΔH_f (0 K) in eV/atom: 1.620

=====

This record from Alexandria describes a geometry-optimized Si2PIr structure. The functional is PBE-GGA.

a = 4.308 Å, b = 4.308 Å, c = 4.308 Å
α = 60.00°, β = 60.00°, γ = 60.00°
Fractional positions:
Si (0.250, 0.250, 0.250)
Si (0.750, 0.750, 0.750)
P (0.000, 0.000, 0.000)
Ir (0.500, 0.500, 0.500)

Values from the calculation:
ΔE to the lowest computed polymorph in eV/f.u.: 2.31
Crystal system: cubic
Raw formation energy in eV per atom: 0.319
E in eV/atom: -5.96
Space group: Fm-3m (225)
DOS(E_F) in states/eV per cell: 3.4

=====

This record from Alexandria describes a geometry-optimized MgZnGeRu structure. The functional is PBE-GGA.

a = 4.410 Å, b = 4.410 Å, c = 4.410 Å
α = 60.00°, β = 60.00°, γ = 60.00°
Fractional positions:
Mg (0.000, 0.000, 0.000)
Zn (0.250, 0.250, 0.250)
Ge (0.750, 0.750, 0.750)
Ru (0.500, 0.500, 0.500)

Values from the calculation:
ΔE to the lowest computed polymorph in eV/f.u.: 0.00
Crystal system: cubic
E in eV/atom: -4.23
Space group: F-43m (216)
DOS(E_F) in states/eV per cell: 3.4
ΔH_f (0 K) in eV/atom: -0.043

=====

This record from Alexandria describes a geometry-optimized HfGe2N structure. The functional is PBE-GGA.

a = 5.560 Å, b = 5.560 Å, c = 5.560 Å
α = 112.40°, β = 112.40°, γ = 103.76°
Fractional positions:
Hf (0.000, 0.000, 0.000)
Hf (0.750, 0.250, 0.500)
Ge (0.218, 0.625, 0.093)
Ge (0.375, 0.468, 0.593)
Ge (0.532, 0.125, 0.907)
Ge (0.875, 0.782, 0.407)
N (0.250, 0.750, 0.500)
N (0.500, 0.500, 0.000)

Values from the calculation:
Crystal system: tetragonal
Raw formation energy in eV per atom: 0.246
E in eV/atom: -6.63
Space group: I-42d (122)
DOS(E_F) in states/eV per cell: 5.1

=====

This record from Alexandria describes a geometry-optimized Sm2GdHf structure. The functional is PBE-GGA.

a = 3.454 Å, b = 3.454 Å, c = 10.028 Å
α = 90.00°, β = 90.00°, γ = 90.00°
Fractional positions:
Sm (0.000, 0.000, 0.229)
Sm (0.000, 0.000, 0.771)
Gd (0.500, 0.500, 0.500)
Hf (0.500, 0.500, 0.000)

Values from the calculation:
ΔE to the lowest computed polymorph in eV/f.u.: 0.00
Crystal system: tetragonal
E in eV/atom: -8.24
Space group: P4/mmm (123)
DOS(E_F) in states/eV per cell: 5.7
ΔH_f (0 K) in eV/atom: 0.127

=====

This record from Alexandria describes a geometry-optimized CoSiNi2Rh structure. The functional is PBE-GGA.

a = 4.141 Å, b = 4.141 Å, c = 4.155 Å
α = 90.00°, β = 90.00°, γ = 90.00°
Fractional positions:
Co (0.000, 0.000, 0.000)
Si (0.000, 0.000, 0.500)
Ni (0.000, 0.500, 0.500)
Ni (0.500, 0.000, 0.500)
Rh (0.500, 0.500, 0.000)

Values from the calculation:
Crystal system: tetragonal
Raw formation energy in eV per atom: 0.617
E in eV/atom: -5.67
Space group: P4/mmm (123)
DOS(E_F) in states/eV per cell: 7.8

=====

This record from Alexandria describes a geometry-optimized InTcC3 structure. The functional is PBE-GGA.

a = 4.159 Å, b = 4.159 Å, c = 4.159 Å
α = 90.00°, β = 90.00°, γ = 90.00°
Fractional positions:
In (0.000, 0.000, 0.000)
Tc (0.500, 0.500, 0.500)
C (0.000, 0.000, 0.500)
C (0.000, 0.500, 0.000)
C (0.500, 0.000, 0.000)

Values from the calculation:
ΔE to the lowest computed polymorph in eV/f.u.: 8.76
Crystal system: cubic
E in eV/atom: -4.64
Space group: Pm-3m (221)
DOS(E_F) in states/eV per cell: 3.4
ΔH_f (0 K) in eV/atom: 3.520

=====

This record from Alexandria describes a geometry-optimized Pa2FeHg structure. The functional is PBE-GGA.

a = 3.106 Å, b = 3.106 Å, c = 8.659 Å
α = 90.00°, β = 90.00°, γ = 90.00°
Fractional positions:
Pa (0.000, 0.000, 0.206)
Pa (0.000, 0.000, 0.794)
Fe (0.500, 0.500, 0.000)
Hg (0.500, 0.500, 0.500)

Values from the calculation:
ΔE to the lowest computed polymorph in eV/f.u.: 0.00
Crystal system: tetragonal
E in eV/atom: -7.02
Space group: P4/mmm (123)
DOS(E_F) in states/eV per cell: 4.7
ΔH_f (0 K) in eV/atom: -0.081

=====

This record from Alexandria describes a geometry-optimized RbErMgCl6 structure. The functional is PBE-GGA.

a = 6.753 Å, b = 6.753 Å, c = 14.685 Å
α = 90.00°, β = 90.00°, γ = 120.00°
Fractional positions:
Rb (0.000, 0.000, 0.000)
Rb (0.000, 0.000, 0.500)
Er (0.333, 0.667, 0.250)
Er (0.667, 0.333, 0.750)
Mg (0.333, 0.667, 0.750)
Mg (0.667, 0.333, 0.250)
Cl (0.010, 0.381, 0.650)
Cl (0.010, 0.629, 0.850)
Cl (0.371, 0.381, 0.850)
Cl (0.371, 0.990, 0.650)
Cl (0.381, 0.010, 0.150)
Cl (0.381, 0.371, 0.350)
Cl (0.619, 0.629, 0.650)
Cl (0.619, 0.990, 0.850)
Cl (0.629, 0.010, 0.350)
Cl (0.629, 0.619, 0.150)
Cl (0.990, 0.371, 0.150)
Cl (0.990, 0.619, 0.350)

Values from the calculation:
Crystal system: trigonal
Raw formation energy in eV per atom: -2.109
E in eV/atom: -4.13
Space group: P-31c (163)
DOS(E_F) in states/eV per cell: 0.0

=====

This record from Alexandria describes a geometry-optimized CsSbSe structure. The functional is PBE-GGA.

a = 6.444 Å, b = 4.033 Å, c = 9.232 Å
α = 90.00°, β = 99.24°, γ = 90.00°
Fractional positions:
Cs (0.194, 0.000, 0.322)
Cs (0.806, 0.000, 0.678)
Sb (0.283, 0.500, 0.935)
Sb (0.717, 0.500, 0.065)
Se (0.315, 0.500, 0.667)
Se (0.685, 0.500, 0.333)

Values from the calculation:
ΔE to the lowest computed polymorph in eV/f.u.: 0.32
Crystal system: monoclinic
Raw formation energy in eV per atom: -0.594
E in eV/atom: -3.41
Space group: P2/m (10)
DOS(E_F) in states/eV per cell: 0.2

=====

This record from Alexandria describes a geometry-optimized Sm8Cd2Rh structure. The functional is PBE-GGA.

a = 9.361 Å, b = 9.361 Å, c = 7.026 Å
α = 107.78°, β = 107.78°, γ = 33.77°
Fractional positions:
Sm (0.020, 0.020, 0.282)
Sm (0.199, 0.199, 0.784)
Sm (0.349, 0.349, 0.552)
Sm (0.408, 0.408, 0.076)
Sm (0.592, 0.592, 0.924)
Sm (0.651, 0.651, 0.448)
Sm (0.801, 0.801, 0.216)
Sm (0.980, 0.980, 0.718)
Cd (0.184, 0.184, 0.211)
Cd (0.816, 0.816, 0.789)
Rh (0.500, 0.500, 0.500)

Values from the calculation:
Crystal system: monoclinic
E in eV/atom: -4.49
Space group: C2/m (12)
DOS(E_F) in states/eV per cell: 11.0
ΔH_f (0 K) in eV/atom: -0.219

=====

This record from Alexandria describes a geometry-optimized K2SmThSe4 structure. The functional is PBE-GGA.

a = 7.392 Å, b = 4.271 Å, c = 8.145 Å
α = 90.00°, β = 107.55°, γ = 90.00°
Fractional positions:
K (0.000, 0.000, 0.000)
K (0.500, 0.500, 0.000)
Sm (0.000, 0.500, 0.500)
Th (0.500, 0.000, 0.500)
Se (0.240, 0.000, 0.713)
Se (0.263, 0.500, 0.285)
Se (0.737, 0.500, 0.715)
Se (0.760, 0.000, 0.287)

Values from the calculation:
Crystal system: monoclinic
Raw formation energy in eV per atom: -1.648
E in eV/atom: -5.18
Space group: P2/m (10)
DOS(E_F) in states/eV per cell: 4.2

=====

This record from Alexandria describes a geometry-optimized ZrTiPb2 structure. The functional is PBE-GGA.

a = 3.276 Å, b = 3.276 Å, c = 8.445 Å
α = 90.00°, β = 90.00°, γ = 90.00°
Fractional positions:
Zr (0.000, 0.000, 0.000)
Ti (0.000, 0.000, 0.500)
Pb (0.500, 0.500, 0.262)
Pb (0.500, 0.500, 0.738)

Values from the calculation:
ΔE to the lowest computed polymorph in eV/f.u.: 0.00
Crystal system: tetragonal
E in eV/atom: -5.93
Space group: P4/mmm (123)
DOS(E_F) in states/eV per cell: 3.2
ΔH_f (0 K) in eV/atom: 0.036

=====

This record from Alexandria describes a geometry-optimized Cs2Tm2HfTe6 structure. The functional is PBE-GGA.

a = 7.484 Å, b = 7.484 Å, c = 9.529 Å
α = 97.90°, β = 97.90°, γ = 119.87°
Fractional positions:
Cs (0.170, 0.830, 0.000)
Cs (0.830, 0.170, 0.000)
Tm (0.332, 0.668, 0.500)
Tm (0.668, 0.332, 0.500)
Hf (0.000, 0.000, 0.500)
Te (0.068, 0.385, 0.686)
Te (0.257, 0.257, 0.317)
Te (0.385, 0.068, 0.686)
Te (0.615, 0.932, 0.314)
Te (0.743, 0.743, 0.683)
Te (0.932, 0.615, 0.314)

Values from the calculation:
Crystal system: monoclinic
Raw formation energy in eV per atom: -1.223
E in eV/atom: -4.81
Space group: C2/m (12)